(1)
# PBE SiHg2Pb, relaxed
data_SiHg2Pb
_cell_length_a 3.430
_cell_length_b 5.308
_cell_length_c 7.073
_cell_angle_alpha 50.29
_cell_angle_beta 90.00
_cell_angle_gamma 90.00
_space_group_name_H-M_alt 'P 1'
_space_group_IT_number 1
_space_group_name_Hall 'P 1'
loop_
_atom_site_label
_atom_site_type_symbol
_atom_site_fract_x
_atom_site_fract_y
_atom_site_fract_z
Si1 Si 0.000 0.000 0.500
Hg1 Hg 0.000 0.000 0.000
Hg2 Hg 0.500 0.500 0.000
Pb1 Pb 0.500 0.500 0.500
# Formation energy without anion corrections, eV per atom: 0.362
# ΔE to the lowest computed polymorph, eV/atom: 0.0978
# Space group: P2/m
# DOS(E_F), states/eV/atom: 0.3164



(2)
# PBE Tc3PbS, relaxed
data_Tc3PbS
_cell_length_a 4.435
_cell_length_b 4.435
_cell_length_c 4.435
_cell_angle_alpha 90.00
_cell_angle_beta 90.00
_cell_angle_gamma 90.00
_space_group_name_H-M_alt 'P 1'
_space_group_IT_number 1
_space_group_name_Hall 'P 1'
loop_
_atom_site_label
_atom_site_type_symbol
_atom_site_fract_x
_atom_site_fract_y
_atom_site_fract_z
Tc1 Tc 0.000 0.000 0.500
Pb1 Pb 0.500 0.500 0.500
Tc2 Tc 0.500 0.000 0.000
S1 S 0.000 0.000 0.000
Tc3 Tc 0.000 0.500 0.000
# Formation energy without anion corrections, eV per atom: 0.523
# ΔE to the lowest computed polymorph, eV/atom: 0.0000
# Space group: Pm-3m
# DOS(E_F), states/eV/atom: 1.0296



(3)
# PBE Pm2InAg2Pd5, relaxed
data_Pm2InAg2Pd5
_cell_length_a 4.023
_cell_length_b 9.902
_cell_length_c 9.902
_cell_angle_alpha 90.00
_cell_angle_beta 90.00
_cell_angle_gamma 90.00
_space_group_name_H-M_alt 'P 1'
_space_group_IT_number 1
_space_group_name_Hall 'P 1'
loop_
_atom_site_label
_atom_site_type_symbol
_atom_site_fract_x
_atom_site_fract_y
_atom_site_fract_z
Pd1 Pd 0.500 0.800 0.943
In1 In 0.000 0.000 0.000
Pd2 Pd 0.500 0.443 0.300
Ag1 Ag 0.000 0.627 0.873
Pd3 Pd 0.500 0.500 0.000
Ag2 Ag 0.000 0.373 0.127
Pm1 Pm 0.000 0.172 0.328
Pd4 Pd 0.500 0.557 0.700
Pd5 Pd 0.500 0.943 0.200
In2 In 0.000 0.500 0.500
Ag3 Ag 0.000 0.127 0.627
Pm2 Pm 0.000 0.328 0.828
Pd6 Pd 0.500 0.200 0.057
Ag4 Ag 0.000 0.873 0.373
Pd7 Pd 0.500 0.300 0.557
Pd8 Pd 0.500 0.700 0.443
Pm3 Pm 0.000 0.672 0.172
Pd9 Pd 0.500 0.057 0.800
Pd10 Pd 0.500 0.000 0.500
Pm4 Pm 0.000 0.828 0.672
# Formation energy, meV/atom: -520
# Space group: P4/mbm
# DOS(E_F), states/eV/atom: 0.4151



(4)
# PBE Pr10Ge3Sb3, relaxed
data_Pr10Ge3Sb3
_cell_length_a 6.626
_cell_length_b 9.217
_cell_length_c 9.217
_cell_angle_alpha 120.00
_cell_angle_beta 90.00
_cell_angle_gamma 90.00
_space_group_name_H-M_alt 'P 1'
_space_group_IT_number 1
_space_group_name_Hall 'P 1'
loop_
_atom_site_label
_atom_site_type_symbol
_atom_site_fract_x
_atom_site_fract_y
_atom_site_fract_z
Sb1 Sb 0.000 0.390 0.390
Pr1 Pr 0.743 0.667 0.333
Ge1 Ge 0.500 0.000 0.385
Pr2 Pr 0.000 0.752 0.752
Sb2 Sb 0.000 0.000 0.610
Pr3 Pr 0.000 0.000 0.248
Sb3 Sb 0.000 0.610 0.000
Ge2 Ge 0.500 0.615 0.615
Pr4 Pr 0.000 0.248 0.000
Pr5 Pr 0.500 0.249 0.249
Pr6 Pr 0.257 0.667 0.333
Ge3 Ge 0.500 0.385 0.000
Pr7 Pr 0.743 0.333 0.667
Pr8 Pr 0.500 0.000 0.751
Pr9 Pr 0.257 0.333 0.667
Pr10 Pr 0.500 0.751 0.000
# Formation energy without anion corrections, eV per atom: -0.815
# Space group: P-62m
# DOS(E_F), states/eV/atom: 1.1040



(5)
# PBE LaW3I, relaxed
data_LaW3I
_cell_length_a 4.972
_cell_length_b 4.972
_cell_length_c 4.972
_cell_angle_alpha 90.00
_cell_angle_beta 90.00
_cell_angle_gamma 90.00
_space_group_name_H-M_alt 'P 1'
_space_group_IT_number 1
_space_group_name_Hall 'P 1'
loop_
_atom_site_label
_atom_site_type_symbol
_atom_site_fract_x
_atom_site_fract_y
_atom_site_fract_z
W1 W 0.000 0.000 0.500
W2 W 0.000 0.500 0.000
W3 W 0.500 0.000 0.000
I1 I 0.500 0.500 0.500
La1 La 0.000 0.000 0.000
# Formation energy without anion corrections, eV per atom: 3.179
# ΔE to the lowest computed polymorph, eV/atom: 1.0407
# Space group: Pm-3m
# DOS(E_F), states/eV/atom: 2.2114



(6)
# PBE LiHo4Pd, relaxed
data_LiHo4Pd
_cell_length_a 4.866
_cell_length_b 4.866
_cell_length_c 7.301
_cell_angle_alpha 89.99
_cell_angle_beta 89.99
_cell_angle_gamma 90.00
_space_group_name_H-M_alt 'P 1'
_space_group_IT_number 1
_space_group_name_Hall 'P 1'
loop_
_atom_site_label
_atom_site_type_symbol
_atom_site_fract_x
_atom_site_fract_y
_atom_site_fract_z
Ho1 Ho 0.001 0.497 0.268
Ho2 Ho 0.501 0.998 0.729
Pd1 Pd 0.001 0.997 0.498
Ho3 Ho 0.001 0.498 0.729
Ho4 Ho 0.501 0.997 0.268
Li1 Li 0.501 0.497 0.998
# Formation energy, meV/atom: 13
# Space group: P4/mmm
# DOS(E_F), states/eV/atom: 1.3050



Repeat the third record exactly.
# PBE Pm2InAg2Pd5, relaxed
data_Pm2InAg2Pd5
_cell_length_a 4.023
_cell_length_b 9.902
_cell_length_c 9.902
_cell_angle_alpha 90.00
_cell_angle_beta 90.00
_cell_angle_gamma 90.00
_space_group_name_H-M_alt 'P 1'
_space_group_IT_number 1
_space_group_name_Hall 'P 1'
loop_
_atom_site_label
_atom_site_type_symbol
_atom_site_fract_x
_atom_site_fract_y
_atom_site_fract_z
Pd1 Pd 0.500 0.800 0.943
In1 In 0.000 0.000 0.000
Pd2 Pd 0.500 0.443 0.300
Ag1 Ag 0.000 0.627 0.873
Pd3 Pd 0.500 0.500 0.000
Ag2 Ag 0.000 0.373 0.127
Pm1 Pm 0.000 0.172 0.328
Pd4 Pd 0.500 0.557 0.700
Pd5 Pd 0.500 0.943 0.200
In2 In 0.000 0.500 0.500
Ag3 Ag 0.000 0.127 0.627
Pm2 Pm 0.000 0.328 0.828
Pd6 Pd 0.500 0.200 0.057
Ag4 Ag 0.000 0.873 0.373
Pd7 Pd 0.500 0.300 0.557
Pd8 Pd 0.500 0.700 0.443
Pm3 Pm 0.000 0.672 0.172
Pd9 Pd 0.500 0.057 0.800
Pd10 Pd 0.500 0.000 0.500
Pm4 Pm 0.000 0.828 0.672
# Formation energy, meV/atom: -520
# Space group: P4/mbm
# DOS(E_F), states/eV/atom: 0.4151



The highest DOS(E_F) belongs to which entry?
LaW3I